Below is a PBEsol-optimized structure of CaMoS2, with properties calculated at the meta-GGA SCAN level.

```
data_CaMoS2
_chemical_formula_sum 'Ca1 Mo1 S2'
_cell_length_a 3.602
_cell_length_b 3.602
_cell_length_c 8.272
_cell_angle_alpha 77.42
_cell_angle_beta 77.42
_cell_angle_gamma 60.00
_symmetry_space_group_name_H-M 'P 1'
_symmetry_Int_Tables_number 1
loop_
_symmetry_equiv_pos_as_xyz
'x,y,z'
loop_
_atom_site_label
_atom_site_type_symbol
_atom_site_fract_x
_atom_site_fract_y
_atom_site_fract_z
S1 S 0.906 0.906 0.282
S2 S 0.094 0.094 0.718
Mo1 Mo 0.000 0.000 0.000
Ca1 Ca 0.500 0.500 0.500
```

---

Below is a PBEsol-optimized structure of CaSbMo2, with properties calculated at the meta-GGA SCAN level.

```
data_CaSbMo2
_chemical_formula_sum 'Ca1 Sb1 Mo2'
_cell_length_a 3.320
_cell_length_b 5.255
_cell_length_c 5.269
_cell_angle_alpha 100.99
_cell_angle_beta 108.36
_cell_angle_gamma 90.00
_symmetry_space_group_name_H-M 'P 1'
_symmetry_Int_Tables_number 1
loop_
_symmetry_equiv_pos_as_xyz
'x,y,z'
loop_
_atom_site_label
_atom_site_type_symbol
_atom_site_fract_x
_atom_site_fract_y
_atom_site_fract_z
Sb1 Sb 0.500 0.000 0.000
Mo1 Mo 0.238 0.160 0.477
Mo2 Mo 0.762 0.840 0.523
Ca1 Ca 0.000 0.500 0.000
```

---

Below is a PBEsol-optimized structure of CaSbMo2, with properties calculated at the meta-GGA SCAN level.

```
data_CaSbMo2
_chemical_formula_sum 'Ca1 Sb1 Mo2'
_cell_length_a 2.884
_cell_length_b 5.400
_cell_length_c 5.645
_cell_angle_alpha 116.51
_cell_angle_beta 101.28
_cell_angle_gamma 97.18
_symmetry_space_group_name_H-M 'P 1'
_symmetry_Int_Tables_number 1
loop_
_symmetry_equiv_pos_as_xyz
'x,y,z'
loop_
_atom_site_label
_atom_site_type_symbol
_atom_site_fract_x
_atom_site_fract_y
_atom_site_fract_z
Sb1 Sb 0.500 0.000 0.000
Mo1 Mo 0.000 0.000 0.500
Mo2 Mo 0.500 0.500 0.500
Ca1 Ca 0.000 0.500 0.000
```

---

Below is a PBEsol-optimized structure of CaSbMo2, with properties calculated at the meta-GGA SCAN level.

```
data_CaSbMo2
_chemical_formula_sum 'Ca1 Sb1 Mo2'
_cell_length_a 3.576
_cell_length_b 4.507
_cell_length_c 5.480
_cell_angle_alpha 114.28
_cell_angle_beta 109.04
_cell_angle_gamma 90.00
_symmetry_space_group_name_H-M 'P 1'
_symmetry_Int_Tables_number 1
loop_
_symmetry_equiv_pos_as_xyz
'x,y,z'
loop_
_atom_site_label
_atom_site_type_symbol
_atom_site_fract_x
_atom_site_fract_y
_atom_site_fract_z
Sb1 Sb 0.500 0.000 0.000
Mo1 Mo 0.755 0.755 0.509
Mo2 Mo 0.245 0.245 0.491
Ca1 Ca 0.000 0.500 0.000
```

---

Below is a PBEsol-optimized structure of Ca2SbMo, with properties calculated at the meta-GGA SCAN level.

```
data_Ca2SbMo
_chemical_formula_sum 'Ca2 Sb1 Mo1'
_cell_length_a 4.995
_cell_length_b 4.995
_cell_length_c 5.006
_cell_angle_alpha 119.93
_cell_angle_beta 119.93
_cell_angle_gamma 90.00
_symmetry_space_group_name_H-M 'P 1'
_symmetry_Int_Tables_number 1
loop_
_symmetry_equiv_pos_as_xyz
'x,y,z'
loop_
_atom_site_label
_atom_site_type_symbol
_atom_site_fract_x
_atom_site_fract_y
_atom_site_fract_z
Sb1 Sb 0.250 0.750 0.500
Mo1 Mo 0.500 0.500 0.000
Ca1 Ca 0.000 0.000 0.000
Ca2 Ca 0.750 0.250 0.500
```

---

Below is a PBEsol-optimized structure of CaSbMo2, with properties calculated at the meta-GGA SCAN level.

```
data_CaSbMo2
_chemical_formula_sum 'Ca1 Sb1 Mo2'
_cell_length_a 3.135
_cell_length_b 3.135
_cell_length_c 9.456
_cell_angle_alpha 80.46
_cell_angle_beta 80.46
_cell_angle_gamma 60.00
_symmetry_space_group_name_H-M 'P 1'
_symmetry_Int_Tables_number 1
loop_
_symmetry_equiv_pos_as_xyz
'x,y,z'
loop_
_atom_site_label
_atom_site_type_symbol
_atom_site_fract_x
_atom_site_fract_y
_atom_site_fract_z
Sb1 Sb 0.500 0.500 0.500
Mo1 Mo 0.241 0.241 0.278
Mo2 Mo 0.759 0.759 0.722
Ca1 Ca 0.000 0.000 0.000
```

---

So what do the calculations give for raw total energy? Going down the list: -65.552 -115.525 -114.205 -114.544 -90.811 -113.577 eV for the cell shown.
So what do the calculations give for E_form (uncorrected)? Going down the list: -10.07 6.74 14.35 12.40 3.82 17.97 kcal/mol of atoms.